{"formula": "Pm4BBr5", "functional": "PBE", "state": "relaxed", "spacegroup": "C2/m (12)", "magmom_total_mub_per_fu": 0.00, "final_energy_ev_per_atom": -4.82, "volume_a3_per_atom": 30.46, "lattice_angstrom": [[9.206, -2.017, 0.000], [9.206, 2.017, 0.000], [-1.938, 0.000, 8.203]], "species": ["Pm", "Pm", "Pm", "Pm", "B", "Br", "Br", "Br", "Br", "Br"], "frac_coords": [[0.001, 0.001, 0.288], [0.356, 0.356, 0.422], [0.644, 0.644, 0.578], [0.999, 0.999, 0.712], [0.500, 0.500, 0.500], [0.165, 0.165, 0.839], [0.171, 0.171, 0.334], [0.500, 0.500, 0.000], [0.829, 0.829, 0.666], [0.835, 0.835, 0.161]]}